Entry 1:
Entry from the Alexandria database: a relaxed NbH3Br crystal (PBE).

Lattice parameters (Å, degrees): 3.8017 3.8017 3.8017 90.00 90.00 90.00
Fractional coordinates of all 5 atoms:
Nb (0.0000, 0.0000, 0.0000)
H (0.0000, 0.0000, 0.5000)
H (0.5000, 0.0000, 0.0000)
H (0.0000, 0.5000, 0.0000)
Br (0.5000, 0.5000, 0.5000)

Summary:
symmetry: Pm-3m, No. 221
distance to the lowest polymorph of the same formula: 0 meV per atom
M_tot: 0.0 μB/cell

Entry 2:
Entry from the Alexandria database: a relaxed DySc2Hg crystal (PBE).

Lattice parameters (Å, degrees): 4.9128 4.9128 5.8568 65.20 65.20 60.00
Fractional coordinates of all 4 atoms:
Hg (0.6994, 0.6994, 0.9017)
Sc (0.0406, 0.0406, 0.8781)
Sc (0.2728, 0.2728, 0.1817)
Dy (0.4872, 0.4872, 0.5385)

Summary:
ΔE_f: -0.007 eV/atom
symmetry: R3m, No. 160
distance to the lowest polymorph of the same formula: 182 meV per atom
M_tot: 0.0 μB/cell

Entry 3:
Entry from the Alexandria database: a relaxed Ba2PS crystal (PBE).

Lattice parameters (Å, degrees): 5.5413 5.5413 5.5413 60.00 60.00 60.00
Last column: magnetic moment on the atom in μB.
Fractional coordinates of all 4 atoms:
Ba (0.2500, 0.2500, 0.2500)  0.02
Ba (0.7500, 0.7500, 0.7500)  0.02
S (0.5000, 0.5000, 0.5000)  0.16
P (0.0000, 0.0000, 0.0000)  0.28

Summary:
formation energy from raw total energies: -4.5 eV/f.u.
symmetry: Fm-3m, No. 225
distance to the lowest polymorph of the same formula: 0 meV per atom
M_tot: 1.0 μB/cell

Entry 4:
Entry from the Alexandria database: a relaxed LiNdPuSe3 crystal (PBE).

Lattice parameters (Å, degrees): 4.0612 8.5191 8.9454 102.23 90.00 90.00
Last column: magnetic moment on the atom in μB.
Fractional coordinates of all 12 atoms:
Se (0.2500, 0.5766, 0.8298)  -0.06
Pu (0.7500, 0.3339, 0.8346)  5.42
Nd (0.7500, 0.8180, 0.7754)  0.07
Li (0.2500, 0.0872, 0.5836)  0.01
Se (0.7500, 0.9066, 0.1324)  -0.04
Se (0.7500, 0.2176, 0.4927)  -0.02
Li (0.7500, 0.9128, 0.4164)  0.01
Se (0.2500, 0.7824, 0.5073)  -0.02
Se (0.7500, 0.4234, 0.1702)  -0.06
Pu (0.2500, 0.6661, 0.1654)  5.42
Se (0.2500, 0.0934, 0.8676)  -0.04
Nd (0.2500, 0.1820, 0.2246)  0.07

Summary:
formation energy from raw total energies: -9.3 eV/f.u.
symmetry: P2_1/m, No. 11
M_tot: 11.5 μB/cell

Entry 5:
Entry from the Alexandria database: a relaxed Tm4MgAu crystal (PBE).

Lattice parameters (Å, degrees): 9.7291 9.7291 9.7291 60.00 60.00 60.00
Fractional coordinates of all 24 atoms:
Tm (0.5614, 0.9386, 0.9386)
Mg (0.1694, 0.1694, 0.4917)
Tm (0.1831, 0.1831, 0.8169)
Mg (0.4917, 0.1694, 0.1694)
Tm (0.9386, 0.9386, 0.5614)
Tm (0.8151, 0.3950, 0.3950)
Tm (0.5614, 0.5614, 0.9386)
Tm (0.9386, 0.5614, 0.9386)
Tm (0.9386, 0.5614, 0.5614)
Tm (0.3950, 0.3950, 0.8151)
Au (0.1850, 0.6050, 0.6050)
Tm (0.3950, 0.3950, 0.3950)
Tm (0.8169, 0.1831, 0.8169)
Tm (0.1831, 0.8169, 0.1831)
Tm (0.8169, 0.1831, 0.1831)
Au (0.6050, 0.1850, 0.6050)
Mg (0.1694, 0.1694, 0.1694)
Mg (0.1694, 0.4917, 0.1694)
Au (0.6050, 0.6050, 0.6050)
Au (0.6050, 0.6050, 0.1850)
Tm (0.5614, 0.9386, 0.5614)
Tm (0.1831, 0.8169, 0.8169)
Tm (0.8169, 0.8169, 0.1831)
Tm (0.3950, 0.8151, 0.3950)

Summary:
ΔE_f: -0.337 eV/atom
symmetry: F-43m, No. 216
distance to the lowest polymorph of the same formula: 0 meV per atom
M_tot: 0.0 μB/cell

Entry 6:
Entry from the Alexandria database: a relaxed SrSm2Ag3 crystal (PBE).

Lattice parameters (Å, degrees): 3.7612 3.7612 11.4814 90.00 90.00 90.00
Fractional coordinates of all 6 atoms:
Sm (0.5000, 0.5000, 0.8376)
Ag (0.0000, 0.0000, 0.3090)
Sr (0.5000, 0.5000, 0.5000)
Ag (0.0000, 0.0000, 0.6910)
Ag (0.0000, 0.0000, 0.0000)
Sm (0.5000, 0.5000, 0.1624)

Summary:
ΔE_f: -0.273 eV/atom
symmetry: P4/mmm, No. 123
M_tot: 0.0 μB/cell

Question: M_tot of number 1 (NbH3Br)?
Answer: 0.0 μB/cell

Question: Among the records above, which one has the highest M_tot?
Answer: LiNdPuSe3

Question: M_tot of number 2 (DySc2Hg)?
Answer: 0.0 μB/cell